No. 1
VASP calculation (PBE) on an optimized crystal structure of TiZnP2O.

Calculated values
Crystal system = tetragonal
Magnetization = 0.000 μB/f.u.
Calculated density = 3983 kg/m3
Formation energy from raw total energies = 0.282 eV per atom
Space-group type = No. 123

Cell: 4.6784 4.6784 3.6426 Å, 90.00 90.00 90.00°
Fractional coordinates of all 5 atoms:
Ti 0.0000 0.0000 0.0000
Zn 0.5000 0.5000 0.5000
P 0.0000 0.5000 0.5000
P 0.5000 0.0000 0.5000
O 0.5000 0.5000 0.0000

=====

No. 2
VASP calculation (PBE) on an optimized crystal structure of TbNdPa.

Calculated values
Crystal system = tetragonal
Magnetization = 0.000 μB/f.u.
Calculated density = 9516 kg/m3
Energy relative to the elements = 0.284 eV per atom
Space-group type = No. 129

Cell: 4.6703 4.6703 8.5477 Å, 90.00 90.00 90.00°
Fractional coordinates of all 6 atoms:
Tb 0.2500 0.2500 0.2139
Tb 0.7500 0.7500 0.7861
Nd 0.2500 0.2500 0.8008
Nd 0.7500 0.7500 0.1992
Pa 0.2500 0.7500 0.5000
Pa 0.7500 0.2500 0.5000

=====

Number 1 is which compound?
TiZnP2O

=====

Please write out number 2 again, unchanged.
VASP calculation (PBE) on an optimized crystal structure of TbNdPa.

Calculated values
Crystal system = tetragonal
Magnetization = 0.000 μB/f.u.
Calculated density = 9516 kg/m3
Energy relative to the elements = 0.284 eV per atom
Space-group type = No. 129

Cell: 4.6703 4.6703 8.5477 Å, 90.00 90.00 90.00°
Fractional coordinates of all 6 atoms:
Tb 0.2500 0.2500 0.2139
Tb 0.7500 0.7500 0.7861
Nd 0.2500 0.2500 0.8008
Nd 0.7500 0.7500 0.1992
Pa 0.2500 0.7500 0.5000
Pa 0.7500 0.2500 0.5000

=====

Which value of calculated density does entry 1 give?
3983 kg/m3